# 1
Material: AlTlMo2Rh
Method: DFT, GGA-PBEsol
State: relaxed

Properties
Fermi-level density of states	1.452	states/eV per atom
M_tot	0.79	μB per atom
DFT total energy	-5.144	eV/atom
energy of formation	2.54	eV per atom

Unit cell a=4.9710 b=4.9710 c=4.6337 alpha=90.00 beta=90.00 gamma=90.00
Space group P4/mmm (No. 123)
Inequivalent atoms, fractional coordinates:
Al1 0.0000 0.0000 0.0000 [1 per cell]
Tl1 0.0000 0.0000 0.5000 [1 per cell]
Mo1 0.0000 0.5000 0.5000 [2 per cell]
Rh1 0.5000 0.5000 0.0000 [1 per cell]

***

# 2
Material: AlMoRu2
Method: DFT, GGA-PBEsol
State: relaxed

Properties
Fermi-level density of states	1.143	states/eV per atom
M_tot	0.00	μB per atom
DFT total energy	-8.906	eV/atom
energy of formation	0.14	eV per atom

Unit cell a=2.9261 b=4.4917 c=8.6287 alpha=90.00 beta=90.00 gamma=90.00
Space group Cmm2 (No. 35)
Inequivalent atoms, fractional coordinates:
Al1 0.0000 0.0000 0.0000 [2 per cell]
Mo1 0.0000 0.5000 0.7394 [2 per cell]
Ru1 0.0000 0.0000 0.4900 [2 per cell]
Ru2 0.0000 0.5000 0.2334 [2 per cell]

***

# 3
Material: AlMo2Ru
Method: DFT, GGA-PBEsol
State: relaxed

Properties
Fermi-level density of states	0.835	states/eV per atom
M_tot	0.00	μB per atom
DFT total energy	-9.451	eV/atom
energy of formation	0.00	eV per atom

Unit cell a=3.7015 b=3.7015 c=8.4919 alpha=90.00 beta=90.00 gamma=90.00
Space group I-4m2 (No. 119)
Inequivalent atoms, fractional coordinates:
Al1 0.0000 0.0000 0.0000 [2 per cell]
Mo1 0.0000 0.0000 0.5000 [2 per cell]
Mo2 0.0000 0.5000 0.2500 [2 per cell]
Ru1 0.0000 0.5000 0.7500 [2 per cell]

***

# 4
Material: AlMo2Ru
Method: DFT, GGA-PBEsol
State: relaxed

Properties
Fermi-level density of states	0.484	states/eV per atom
M_tot	0.00	μB per atom
DFT total energy	-9.729	eV/atom
energy of formation	-0.28	eV per atom

Unit cell a=3.1003 b=4.1714 c=8.8416 alpha=90.00 beta=90.00 gamma=90.00
Space group Immm (No. 71)
Inequivalent atoms, fractional coordinates:
Al1 0.0000 0.0000 0.0000 [2 per cell]
Mo1 0.0000 0.5000 0.2465 [4 per cell]
Ru1 0.0000 0.0000 0.5000 [2 per cell]

***

# 5
Material: AlMo2Ru
Method: DFT, GGA-PBEsol
State: relaxed

Properties
Fermi-level density of states	0.735	states/eV per atom
M_tot	0.00	μB per atom
DFT total energy	-9.609	eV/atom
energy of formation	-0.16	eV per atom

Unit cell a=3.0875 b=4.1681 c=4.4703 alpha=90.00 beta=90.00 gamma=90.00
Space group Pmmm (No. 47)
Inequivalent atoms, fractional coordinates:
Al1 0.0000 0.0000 0.0000 [1 per cell]
Mo1 0.0000 0.5000 0.5000 [1 per cell]
Mo2 0.5000 0.0000 0.5000 [1 per cell]
Ru1 0.5000 0.5000 0.0000 [1 per cell]

***

# 6
Material: AlMoRu2
Method: DFT, GGA-PBEsol
State: relaxed

Properties
Fermi-level density of states	0.529	states/eV per atom
M_tot	0.00	μB per atom
DFT total energy	-9.400	eV/atom
energy of formation	-0.35	eV per atom

Unit cell a=2.9611 b=2.9611 c=6.2648 alpha=90.00 beta=90.00 gamma=90.00
Space group P4/mmm (No. 123)
Inequivalent atoms, fractional coordinates:
Al1 0.0000 0.0000 0.0000 [1 per cell]
Mo1 0.0000 0.0000 0.5000 [1 per cell]
Ru1 0.5000 0.5000 0.2395 [2 per cell]

***

# 7
Material: AlMo2Ru
Method: DFT, GGA-PBEsol
State: relaxed

Properties
Fermi-level density of states	0.786	states/eV per atom
M_tot	0.00	μB per atom
DFT total energy	-9.462	eV/atom
energy of formation	-0.01	eV per atom

Unit cell a=2.7467 b=4.0702 c=5.2338 alpha=90.00 beta=90.00 gamma=90.00
Space group Pmm2 (No. 25)
Inequivalent atoms, fractional coordinates:
Al1 0.0000 0.0000 0.0000 [1 per cell]
Mo1 0.0000 0.0000 0.5086 [1 per cell]
Mo2 0.5000 0.5000 0.2480 [1 per cell]
Ru1 0.5000 0.5000 0.7771 [1 per cell]

***

# 8
Material: AlSbMo
Method: DFT, GGA-PBEsol
State: relaxed

Properties
Fermi-level density of states	0.662	states/eV per atom
M_tot	0.00	μB per atom
formation energy (no corrections)	354	meV per atom
DFT total energy	-6.452	eV/atom
E above lowest polymorph	530.6	meV/atom

Unit cell a=4.6976 b=4.6976 c=2.8524 alpha=90.00 beta=90.00 gamma=120.00
Space group P3m1 (No. 156)
Inequivalent atoms, fractional coordinates:
Al1 0.0000 0.0000 0.0000 [1 per cell]
Sb1 0.6667 0.3333 0.4989 [1 per cell]
Mo1 0.3333 0.6667 0.5007 [1 per cell]

***

# 9
Material: AlSbMo
Method: DFT, GGA-PBEsol
State: relaxed

Properties
Fermi-level density of states	0.098	states/eV per atom
M_tot	0.00	μB per atom
formation energy (no corrections)	-177	meV per atom
DFT total energy	-6.982	eV/atom
E above lowest polymorph	0.0	meV/atom

Unit cell a=3.4318 b=3.4318 c=8.5740 alpha=90.00 beta=90.00 gamma=90.00
Space group I4mm (No. 107)
Inequivalent atoms, fractional coordinates:
Al1 0.0000 0.0000 0.0000 [2 per cell]
Sb1 0.0000 0.0000 0.3215 [2 per cell]
Mo1 0.0000 0.0000 0.6579 [2 per cell]

***

# 10
Material: ScAlMo
Method: DFT, GGA-PBEsol
State: relaxed

Properties
Fermi-level density of states	1.085	states/eV per atom
M_tot	0.00	μB per atom
DFT total energy	-7.377	eV/atom
energy of formation	0.11	eV per atom
E above lowest polymorph	0.0	meV/atom

Unit cell a=2.9468 b=2.9468 c=6.9652 alpha=90.00 beta=90.00 gamma=120.00
Space group P3m1 (No. 156)
Inequivalent atoms, fractional coordinates:
Sc1 0.0000 0.0000 0.0000 [1 per cell]
Al1 0.3333 0.6667 0.6437 [1 per cell]
Mo1 0.6667 0.3333 0.3355 [1 per cell]

***

# 11
Material: ScAlMo
Method: DFT, GGA-PBEsol
State: relaxed

Properties
Fermi-level density of states	1.451	states/eV per atom
M_tot	0.70	μB per atom
DFT total energy	-6.385	eV/atom
energy of formation	1.10	eV per atom
E above lowest polymorph	991.6	meV/atom

Unit cell a=6.3329 b=6.3329 c=6.3329 alpha=90.00 beta=90.00 gamma=90.00
Space group F-43m (No. 216)
Inequivalent atoms, fractional coordinates:
Sc1 0.0000 0.0000 0.0000 [4 per cell]
Al1 0.2500 0.2500 0.7500 [4 per cell]
Mo1 0.2500 0.2500 0.2500 [4 per cell]

***

# 12
Material: ScAlMo2
Method: DFT, GGA-PBEsol
State: relaxed

Properties
Fermi-level density of states	0.349	states/eV per atom
M_tot	0.00	μB per atom
DFT total energy	-8.757	eV/atom
energy of formation	-0.20	eV per atom

Unit cell a=3.2032 b=3.2032 c=6.4548 alpha=90.00 beta=90.00 gamma=90.00
Space group P4mm (No. 99)
Inequivalent atoms, fractional coordinates:
Sc1 0.0000 0.0000 0.0000 [1 per cell]
Al1 0.5000 0.5000 0.2888 [1 per cell]
Mo1 0.0000 0.0000 0.5225 [1 per cell]
Mo2 0.5000 0.5000 0.7369 [1 per cell]

***

M_tot of number 11 (ScAlMo)?
0.70 μB per atom